Record 1
A plane-wave DFT calculation with PBE was carried out for crystalline Np2TiIr9 at its relaxed geometry.

Unit cell a=3.9845 b=3.9845 c=12.0031 alpha=90.00 beta=90.00 gamma=90.00
Closest atoms and distances in Å follow each position.
Fractional positions:
Np 0.0000 0.0000 0.6702  12 Ir 2.82-2.87
Ir 0.0000 0.5000 0.8423  8 Ir 2.75-2.86, 2 Ti 2.75, 2 Np 2.87
Ir 0.5000 0.0000 0.8423  8 Ir 2.75-2.86, 2 Ti 2.75, 2 Np 2.87
Ir 0.0000 0.5000 0.5000  8 Ir 2.82-2.86, 4 Np 2.85
Ir 0.5000 0.5000 0.0000  8 Ir 2.75, 4 Ti 2.82
Ir 0.0000 0.5000 0.1577  8 Ir 2.75-2.86, 2 Ti 2.75, 2 Np 2.87
Ir 0.5000 0.0000 0.1577  8 Ir 2.75-2.86, 2 Ti 2.75, 2 Np 2.87
Np 0.0000 0.0000 0.3298  12 Ir 2.82-2.87
Ir 0.5000 0.5000 0.3286  4 Np 2.82, 8 Ir 2.86
Ir 0.5000 0.0000 0.5000  8 Ir 2.82-2.86, 4 Np 2.85
Ti 0.0000 0.0000 0.0000  12 Ir 2.75-2.82
Ir 0.5000 0.5000 0.6714  4 Np 2.82, 8 Ir 2.86

The calculated formation energy is -0.470 eV/atom.

Record 2
A plane-wave DFT calculation with PBE was carried out for crystalline Np2TlIr at its relaxed geometry.

Unit cell a=3.2210 b=3.2210 c=8.7806 alpha=90.00 beta=90.00 gamma=90.00
Closest atoms and distances in Å follow each position.
Fractional positions:
Tl 0.5000 0.5000 0.5000  4 Tl 3.22, 8 Np 3.41
Np 0.0000 0.0000 0.2116  4 Ir 2.94, 4 Np 3.22
Np 0.0000 0.0000 0.7884  4 Ir 2.94, 4 Np 3.22
Ir 0.5000 0.5000 0.0000  8 Np 2.94, 4 Ir 3.22

The calculated formation energy is 0.007 eV/atom.

Record 3
A plane-wave DFT calculation with PBE was carried out for crystalline NpTlIr4 at its relaxed geometry.

Unit cell a=5.3323 b=5.3323 c=5.3323 alpha=60.00 beta=60.00 gamma=60.00
Closest atoms and distances in Å follow each position.
Fractional positions:
Ir 0.6256 0.6256 0.6256  6 Ir 2.65-2.68
Ir 0.1232 0.6256 0.6256  6 Ir 2.65-2.68
Ir 0.6256 0.1232 0.6256  6 Ir 2.65-2.68
Ir 0.6256 0.6256 0.1232  6 Ir 2.65-2.68
Tl 0.0000 0.0000 0.0000  12 Ir 3.12, 4 Np 3.27
Np 0.2500 0.2500 0.2500  12 Ir 3.13, 4 Tl 3.27

The calculated formation energy is -0.127 eV/atom.